(1)
VASP calculation (PBE-GGA) on a geometry-optimized LiTaCr structure.

## Properties
DOS at the Fermi energy   0.946 states/eV/atom
Theoretical density   8.4 g/cm³

Lattice parameters (Å, degrees): 3.126 4.410 13.702 90.00 90.00 90.00
Space group Fmm2 (No. 42)
Unique sites:
1 Li 0.000 0.000 0.000 (multiplicity 4)
2 Ta 0.000 0.000 0.689 (multiplicity 4)
3 Cr 0.000 0.000 0.336 (multiplicity 4)

=====

(2)
VASP calculation (PBE-GGA) on a geometry-optimized LiTaCr structure.

## Properties
DOS at the Fermi energy   1.018 states/eV/atom
Theoretical density   9.0 g/cm³

Lattice parameters (Å, degrees): 3.197 3.197 8.692 90.00 90.00 90.00
Space group I4mm (No. 107)
Unique sites:
1 Li 0.000 0.000 0.000 (multiplicity 2)
2 Ta 0.000 0.000 0.686 (multiplicity 2)
3 Cr 0.000 0.000 0.338 (multiplicity 2)

=====

(3)
VASP calculation (PBE-GGA) on a geometry-optimized LiTaCr structure.

## Properties
DOS at the Fermi energy   0.938 states/eV/atom
Theoretical density   9.1 g/cm³

Lattice parameters (Å, degrees): 4.5159 4.5159 2.4881 90.00 90.00 120.00
Space group P3m1 (No. 156)
Unique sites:
1 Li 0.0000 0.0000 0.0000 (multiplicity 1)
2 Ta 0.3333 0.6667 0.4615 (multiplicity 1)
3 Cr 0.6667 0.3333 0.9416 (multiplicity 1)

=====

(1) ends up most stable, edging out the next structure by 31 meV/atom.

=====

(1)
VASP calculation (PBE-GGA) on a geometry-optimized LiTaCr structure.

## Properties
DOS at the Fermi energy   1.023 states/eV/atom
Theoretical density   8.5 g/cm³

Lattice parameters (Å, degrees): 2.594 2.594 13.897 90.00 90.00 90.00
Space group I4mm (No. 107)
Unique sites:
1 Li 0.000 0.000 0.000 (multiplicity 2)
2 Ta 0.000 0.000 0.317 (multiplicity 2)
3 Cr 0.000 0.000 0.658 (multiplicity 2)

=====

(2)
VASP calculation (PBE-GGA) on a geometry-optimized LiTaCr structure.

## Properties
DOS at the Fermi energy   0.910 states/eV/atom
Theoretical density   9.0 g/cm³

Lattice parameters (Å, degrees): 2.513 4.241 8.275 90.00 90.00 90.00
Space group Imm2 (No. 44)
Unique sites:
1 Li 0.000 0.000 0.000 (multiplicity 2)
2 Ta 0.000 0.000 0.674 (multiplicity 2)
3 Cr 0.000 0.000 0.334 (multiplicity 2)

=====

(3)
VASP calculation (PBE-GGA) on a geometry-optimized LiTaCr structure.

## Properties
DOS at the Fermi energy   1.065 states/eV/atom
Theoretical density   7.2 g/cm³

Lattice parameters (Å, degrees): 6.037 6.037 6.037 90.00 90.00 90.00
Space group F-43m (No. 216)
Unique sites:
1 Li 0.000 0.000 0.000 (multiplicity 4)
2 Ta 0.250 0.250 0.250 (multiplicity 4)
3 Cr 0.000 0.000 0.500 (multiplicity 4)

=====

(2) ends up most stable, edging out the next structure by 49 meV/atom.

=====

(1)
VASP calculation (PBE-GGA) on a geometry-optimized Li2TaCr structure.

## Properties
DOS at the Fermi energy   0.595 states/eV/atom
Theoretical density   6.3 g/cm³

Lattice parameters (Å, degrees): 9.170 2.694 5.309 90.00 100.00 90.00
Space group Cm (No. 8)
Unique sites:
1 Li 0.000 0.000 0.000 (multiplicity 2)
2 Li 0.248 0.000 0.811 (multiplicity 2)
3 Ta 0.480 0.000 0.475 (multiplicity 2)
4 Cr 0.237 0.500 0.324 (multiplicity 2)

=====

(2)
VASP calculation (PBE-GGA) on a geometry-optimized Li2TaCr structure.

## Properties
DOS at the Fermi energy   0.832 states/eV/atom
Theoretical density   6.1 g/cm³

Lattice parameters (Å, degrees): 3.177 3.177 6.611 90.00 90.00 90.00
Space group P4mm (No. 99)
Unique sites:
1 Li 0.000 0.000 0.000 (multiplicity 1)
2 Li 0.500 0.500 0.268 (multiplicity 1)
3 Ta 0.000 0.000 0.571 (multiplicity 1)
4 Cr 0.500 0.500 0.739 (multiplicity 1)

=====

(2) ends up most stable, edging out the next structure by 115 meV/atom.

=====

(1)
VASP calculation (PBE-GGA) on a geometry-optimized Li2TaCr structure.

## Properties
DOS at the Fermi energy   0.827 states/eV/atom
Theoretical density   6.3 g/cm³

Lattice parameters (Å, degrees): 3.148 4.518 9.205 90.00 90.00 90.00
Space group Cmm2 (No. 35)
Unique sites:
1 Li 0.000 0.000 0.000 (multiplicity 2)
2 Li 0.000 0.500 0.275 (multiplicity 2)
3 Ta 0.000 0.000 0.549 (multiplicity 2)
4 Cr 0.000 0.500 0.762 (multiplicity 2)

=====

(2)
VASP calculation (PBE-GGA) on a geometry-optimized Li2TaCr structure.

## Properties
DOS at the Fermi energy   0.677 states/eV/atom
Theoretical density   6.7 g/cm³

Lattice parameters (Å, degrees): 2.703 5.015 4.567 90.00 98.51 90.00
Space group P2/m (No. 10)
Unique sites:
1 Li 0.216 0.000 0.260 (multiplicity 2)
2 Ta 0.500 0.500 0.000 (multiplicity 1)
3 Cr 0.000 0.500 0.500 (multiplicity 1)

=====

(3)
VASP calculation (PBE-GGA) on a geometry-optimized Li2TaCr structure.

## Properties
DOS at the Fermi energy   0.924 states/eV/atom
Theoretical density   6.7 g/cm³

Lattice parameters (Å, degrees): 2.536 2.536 9.564 90.00 90.00 90.00
Space group P4/mmm (No. 123)
Unique sites:
1 Li 0.000 0.000 0.236 (multiplicity 2)
2 Ta 0.500 0.500 0.500 (multiplicity 1)
3 Cr 0.500 0.500 0.000 (multiplicity 1)

=====

(1) ends up most stable, edging out the next structure by 135 meV/atom.